(1)
The following is a DFT calculation (GGA-PBE) of crystalline InTc2Te at its relaxed geometry.

```
data_InTc2Te
_chemical_formula_sum 'In1 Tc2 Te1'
_space_group_name_H-M_alt 'P 1'
_space_group_IT_number 1
_space_group_name_Hall 'P 1'
_cell_length_a 8.643
_cell_length_b 8.643
_cell_length_c 8.643
_cell_angle_alpha 21.02
_cell_angle_beta 21.02
_cell_angle_gamma 21.02
loop_
_atom_site_label
_atom_site_type_symbol
_atom_site_fract_x
_atom_site_fract_y
_atom_site_fract_z
In1 In 0.000 0.000 0.000
Tc1 Tc 0.245 0.245 0.245
Tc2 Tc 0.755 0.755 0.755
Te1 Te 0.500 0.500 0.500
```

Output
Its space-group type is R-3m, No. 166. The calculation puts the formation energy without anion corrections at 409 meV/atom.

(2)
The following is a DFT calculation (GGA-PBE) of crystalline MoIr2Rh at its relaxed geometry.

```
data_MoIr2Rh
_chemical_formula_sum 'Mo1 Ir2 Rh1'
_space_group_name_H-M_alt 'P 1'
_space_group_IT_number 1
_space_group_name_Hall 'P 1'
_cell_length_a 2.750
_cell_length_b 2.750
_cell_length_c 7.789
_cell_angle_alpha 90.00
_cell_angle_beta 90.00
_cell_angle_gamma 90.00
loop_
_atom_site_label
_atom_site_type_symbol
_atom_site_fract_x
_atom_site_fract_y
_atom_site_fract_z
Mo1 Mo 0.000 0.000 0.000
Ir1 Ir 0.500 0.500 0.249
Ir2 Ir 0.500 0.500 0.751
Rh1 Rh 0.000 0.000 0.500
```

Output
As for the total energy: -36.50 eV for the cell shown. Its space-group type is P4/mmm, No. 123.

(3)
The following is a DFT calculation (GGA-PBE) of crystalline Ni2AgIr at its relaxed geometry.

```
data_Ni2AgIr
_chemical_formula_sum 'Ni2 Ag1 Ir1'
_space_group_name_H-M_alt 'P 1'
_space_group_IT_number 1
_space_group_name_Hall 'P 1'
_cell_length_a 3.944
_cell_length_b 3.944
_cell_length_c 3.486
_cell_angle_alpha 90.00
_cell_angle_beta 90.00
_cell_angle_gamma 90.00
loop_
_atom_site_label
_atom_site_type_symbol
_atom_site_fract_x
_atom_site_fract_y
_atom_site_fract_z
Ni1 Ni 0.000 0.500 0.000
Ni2 Ni 0.500 0.000 0.000
Ag1 Ag 0.000 0.000 0.500
Ir1 Ir 0.500 0.500 0.500
```

Output
As for the total energy: -21.91 eV for the cell shown. Its space-group type is P4/mmm, No. 123.

Repeat the third record exactly.
The following is a DFT calculation (GGA-PBE) of crystalline Ni2AgIr at its relaxed geometry.

```
data_Ni2AgIr
_chemical_formula_sum 'Ni2 Ag1 Ir1'
_space_group_name_H-M_alt 'P 1'
_space_group_IT_number 1
_space_group_name_Hall 'P 1'
_cell_length_a 3.944
_cell_length_b 3.944
_cell_length_c 3.486
_cell_angle_alpha 90.00
_cell_angle_beta 90.00
_cell_angle_gamma 90.00
loop_
_atom_site_label
_atom_site_type_symbol
_atom_site_fract_x
_atom_site_fract_y
_atom_site_fract_z
Ni1 Ni 0.000 0.500 0.000
Ni2 Ni 0.500 0.000 0.000
Ag1 Ag 0.000 0.000 0.500
Ir1 Ir 0.500 0.500 0.500
```

Output
As for the total energy: -21.91 eV for the cell shown. Its space-group type is P4/mmm, No. 123.

Which formula does entry 2 have?
MoIr2Rh